[1]
Entry from the Alexandria database: a relaxed Dy2Ho2Th crystal (PBE).

```
data_Dy2Ho2Th
_space_group_name_H-M_alt 'C m c 21'
_space_group_IT_number 36
_space_group_name_Hall 'C 2c -2'
_cell_length_a 5.418
_cell_length_b 16.710
_cell_length_c 6.966
_cell_angle_alpha 90.00
_cell_angle_beta 90.00
_cell_angle_gamma 90.00
loop_
_atom_site_label
_atom_site_type_symbol
_atom_site_fract_x
_atom_site_fract_y
_atom_site_fract_z
Dy1 Dy 0.000 0.000 0.000
Dy2 Dy 0.000 0.200 0.499
Ho1 Ho 0.000 0.200 0.999
Ho2 Ho 0.000 0.392 0.749
Th1 Th 0.000 0.391 0.250
```

* ΔE_f: 60 meV/atom
* relative energy among the computed polymorphs: 0.0 meV per atom
* calculated density: 9.342 g/cm3
* crystal system: orthorhombic

[2]
Entry from the Alexandria database: a relaxed KErCdBr6 crystal (PBE).

```
data_KErCdBr6
_space_group_name_H-M_alt 'P -3 1 c'
_space_group_IT_number 163
_space_group_name_Hall '-P 3 2c'
_cell_length_a 7.2533
_cell_length_b 7.2533
_cell_length_c 14.6134
_cell_angle_alpha 90.00
_cell_angle_beta 90.00
_cell_angle_gamma 120.00
loop_
_atom_site_label
_atom_site_type_symbol
_atom_site_fract_x
_atom_site_fract_y
_atom_site_fract_z
K1 K 0.0000 0.0000 0.0000
Er1 Er 0.3333 0.6667 0.2500
Cd1 Cd 0.3333 0.6667 0.7500
Br1 Br 0.0030 0.3724 0.1392
```

* energy relative to the elements, uncorrected: -1317 kJ/mol of formula units
* calculated density: 3.981 g/cm3
* crystal system: trigonal

[3]
Entry from the Alexandria database: a relaxed Ca2HgC crystal (PBE).

```
data_Ca2HgC
_space_group_name_H-M_alt 'F m -3 m'
_space_group_IT_number 225
_space_group_name_Hall '-F 4 2 3'
_cell_length_a 6.998
_cell_length_b 6.998
_cell_length_c 6.998
_cell_angle_alpha 90.00
_cell_angle_beta 90.00
_cell_angle_gamma 90.00
loop_
_atom_site_label
_atom_site_type_symbol
_atom_site_fract_x
_atom_site_fract_y
_atom_site_fract_z
Ca1 Ca 0.250 0.250 0.250
Hg1 Hg 0.000 0.000 0.000
C1 C 0.000 0.000 0.500
```

* ΔE_f: 435 meV/atom
* calculated density: 5.673 g/cm3
* crystal system: cubic

[4]
Entry from the Alexandria database: a relaxed Y3HoCu crystal (PBE).

```
data_Y3HoCu
_space_group_name_H-M_alt 'C 1 2/m 1'
_space_group_IT_number 12
_space_group_name_Hall '-C 2y'
_cell_length_a 11.463
_cell_length_b 8.448
_cell_length_c 7.835
_cell_angle_alpha 90.00
_cell_angle_beta 128.58
_cell_angle_gamma 90.00
loop_
_atom_site_label
_atom_site_type_symbol
_atom_site_fract_x
_atom_site_fract_y
_atom_site_fract_z
Y1 Y 0.037 0.000 0.305
Y2 Y 0.206 0.300 0.738
Ho1 Ho 0.077 0.500 0.276
Cu1 Cu 0.225 0.500 0.079
```

* ΔE_f: 29 meV/atom
* calculated density: 5.546 g/cm3
* crystal system: monoclinic

[5]
Entry from the Alexandria database: a relaxed SrMg2HW crystal (PBE).

```
data_SrMg2HW
_space_group_name_H-M_alt 'P 4/m m m'
_space_group_IT_number 123
_space_group_name_Hall '-P 4 2'
_cell_length_a 5.589
_cell_length_b 5.589
_cell_length_c 3.568
_cell_angle_alpha 90.00
_cell_angle_beta 90.00
_cell_angle_gamma 90.00
loop_
_atom_site_label
_atom_site_type_symbol
_atom_site_fract_x
_atom_site_fract_y
_atom_site_fract_z
Sr1 Sr 0.000 0.000 0.000
Mg1 Mg 0.000 0.500 0.000
H1 H 0.000 0.000 0.500
W1 W 0.500 0.500 0.500
```

* energy: -2.6825 eV/atom
* calculated density: 4.784 g/cm3
* crystal system: tetragonal

[6]
Entry from the Alexandria database: a relaxed AcPrHo crystal (PBE).

```
data_AcPrHo
_space_group_name_H-M_alt 'C 1 2/m 1'
_space_group_IT_number 12
_space_group_name_Hall '-C 2y'
_cell_length_a 18.092
_cell_length_b 3.794
_cell_length_c 6.544
_cell_angle_alpha 90.00
_cell_angle_beta 96.91
_cell_angle_gamma 90.00
loop_
_atom_site_label
_atom_site_type_symbol
_atom_site_fract_x
_atom_site_fract_y
_atom_site_fract_z
Ac1 Ac 0.248 0.000 0.253
Pr1 Pr 0.080 0.000 0.858
Ho1 Ho 0.079 0.500 0.362
```

* ΔE_f: 30 meV/atom
* relative energy among the computed polymorphs: 0.0 meV per atom
* calculated density: 7.937 g/cm3
* crystal system: monoclinic

[7]
Entry from the Alexandria database: a relaxed Na3RuO4 crystal (PBE).

```
data_Na3RuO4
_space_group_name_H-M_alt 'C 1 2/m 1'
_space_group_IT_number 12
_space_group_name_Hall '-C 2y'
_cell_length_a 11.148
_cell_length_b 12.976
_cell_length_c 5.769
_cell_angle_alpha 90.00
_cell_angle_beta 109.86
_cell_angle_gamma 90.00
loop_
_atom_site_label
_atom_site_type_symbol
_atom_site_fract_x
_atom_site_fract_y
_atom_site_fract_z
Na1 Na 0.000 0.000 0.000
Na2 Na 0.000 0.125 0.500
Na3 Na 0.000 0.244 0.000
Na4 Na 0.000 0.500 0.000
Na5 Na 0.245 0.376 0.017
Na6 Na 0.250 0.250 0.500
Ru1 Ru 0.000 0.373 0.500
Ru2 Ru 0.246 0.000 0.475
O1 O 0.102 0.274 0.724
O2 O 0.112 0.500 0.703
O3 O 0.122 0.389 0.312
O4 O 0.146 0.107 0.268
O5 O 0.156 0.000 0.700
```

* energy relative to the elements, uncorrected: -1055 kJ/mol of formula units
* calculated density: 3.961 g/cm3
* crystal system: monoclinic

[8]
Entry from the Alexandria database: a relaxed Ca5BiPb4 crystal (PBE).

```
data_Ca5BiPb4
_space_group_name_H-M_alt 'P 4/m m m'
_space_group_IT_number 123
_space_group_name_Hall '-P 4 2'
_cell_length_a 4.007
_cell_length_b 4.007
_cell_length_c 19.246
_cell_angle_alpha 90.00
_cell_angle_beta 90.00
_cell_angle_gamma 90.00
loop_
_atom_site_label
_atom_site_type_symbol
_atom_site_fract_x
_atom_site_fract_y
_atom_site_fract_z
Ca1 Ca 0.000 0.000 0.000
Ca2 Ca 0.000 0.000 0.200
Ca3 Ca 0.000 0.000 0.402
Bi1 Bi 0.500 0.500 0.500
Pb1 Pb 0.500 0.500 0.101
Pb2 Pb 0.500 0.500 0.299
```

* ΔE_f: -549 meV/atom
* calculated density: 6.654 g/cm3
* crystal system: tetragonal